[1]
The following is a GGA-PBEsol calculation of a relaxed structure of KMn2Be, from Alexandria.

Cell and atoms, written as POSCAR:
```
KMn2Be
1.0
2.861 -4.727 0.000
2.861 4.727 0.000
-1.168 0.000 2.418
K Mn Be
1 2 1
Direct
0.000 0.000 0.000
0.000 0.500 0.500
0.500 0.000 0.500
0.500 0.500 0.000
```

* DOS(E_F): 3.39 states/eV/f.u.
* calculated total energy: -19.18 eV per cell
* DFT formation energy: 1370 meV per atom

***

[2]
The following is a GGA-PBEsol calculation of a relaxed structure of KBeMo, from Alexandria.

Cell and atoms, written as POSCAR:
```
KBeMo
1.0
-1.379 1.379 7.116
1.379 -1.379 7.116
1.379 1.379 -7.116
K Be Mo
1 1 1
Direct
0.000 0.000 0.000
0.311 0.311 0.000
0.708 0.708 0.000
```

* DOS(E_F): 2.42 states/eV/f.u.
* calculated total energy: -13.92 eV per cell
* energy above the lowest structure with this stoichiometry: 0 kJ/mol of formula units
* DFT formation energy: 992 meV per atom

***

[3]
The following is a GGA-PBEsol calculation of a relaxed structure of KBeMo, from Alexandria.

Cell and atoms, written as POSCAR:
```
KBeMo
1.0
0.000 3.248 3.248
3.248 0.000 3.248
3.248 3.248 0.000
K Be Mo
1 1 1
Direct
0.000 0.000 0.000
0.250 0.250 0.250
0.500 0.500 0.500
```

* DOS(E_F): 3.05 states/eV/f.u.
* calculated total energy: -10.58 eV per cell
* energy above the lowest structure with this stoichiometry: 323 kJ/mol of formula units
* DFT formation energy: 2108 meV per atom

***

[4]
The following is a GGA-PBEsol calculation of a relaxed structure of K2BeN, from Alexandria.

Cell and atoms, written as POSCAR:
```
K2BeN
1.0
-5.790 5.790 1.552
5.790 -5.790 1.552
5.790 5.790 -1.552
K Be N
4 2 2
Direct
0.375 0.085 0.210
0.835 0.625 0.710
0.875 0.165 0.790
0.915 0.125 0.290
0.250 0.750 0.500
0.500 0.500 0.000
0.000 0.000 0.000
0.750 0.250 0.500
```

* DOS(E_F): 0.88 states/eV/f.u.
* calculated total energy: -31.27 eV per cell
* E_form (uncorrected): -0.21 eV per atom

***

[5]
The following is a GGA-PBEsol calculation of a relaxed structure of KBe3N, from Alexandria.

Cell and atoms, written as POSCAR:
```
KBe3N
1.0
4.021 0.000 0.000
0.000 4.021 0.000
0.000 0.000 4.021
K Be N
1 3 1
Direct
0.000 0.000 0.000
0.000 0.500 0.500
0.500 0.000 0.500
0.500 0.500 0.000
0.500 0.500 0.500
```

* DOS(E_F): 3.14 states/eV/f.u.
* calculated total energy: -16.18 eV per cell
* E_form (uncorrected): 1.10 eV per atom